Record 1
Here is Ce2YF8 after structural relaxation from the Alexandria database. Energies are from PBE.

Cell lengths 7.7478, 7.7478, 5.4385 Å; angles 108.83, 108.83, 30.01 degrees
With the nearest neighbours (Å) after each atom.
Sites, in units of the cell vectors:
Ce 0.1778 0.1778 0.1984  9 F 2.45-2.65
Ce 0.8222 0.8222 0.8016  9 F 2.45-2.65
Y 0.5000 0.5000 0.5000  8 F 2.25-2.36
F 0.0249 0.0249 0.3024  2 Y 2.36, 1 F 2.50, 1 Ce 2.53
F 0.2189 0.2189 0.7987  3 Ce 2.45-2.53, 3 F 2.69-2.70
F 0.3515 0.3515 0.5437  1 Y 2.31, 2 Ce 2.57
F 0.4045 0.4045 0.0819  1 Y 2.25
F 0.5955 0.5955 0.9181  1 Y 2.25
F 0.6485 0.6485 0.4563  1 Y 2.31, 2 Ce 2.57
F 0.7811 0.7811 0.2013  3 Ce 2.45-2.53, 3 F 2.69-2.70
F 0.9751 0.9751 0.6976  2 Y 2.36, 1 F 2.50, 1 Ce 2.53

Summary:
- ΔE_f (raw) (meV/atom) = -3850
- magnetization (μB/cell) = 3.00
- symmetry = No. 12
- crystal system = monoclinic

=====

Record 2
Here is CeYF after structural relaxation from the Alexandria database. Energies are from PBE.

Cell lengths 3.7459, 3.7459, 5.7022 Å; angles 90.00, 90.00, 120.00 degrees
With the nearest neighbours (Å) after each atom.
Sites, in units of the cell vectors:
Ce 0.0000 0.0000 0.0000  3 F 2.63
Y 0.6667 0.3333 0.4993  3 F 2.56
F 0.3333 0.6667 0.7389  3 Y 2.56, 3 Ce 2.63

Summary:
- ΔE_f (raw) (meV/atom) = -1446
- magnetization (μB/cell) = 0.62
- symmetry = No. 156
- crystal system = trigonal

=====

Record 3
Here is CeY2F8 after structural relaxation from the Alexandria database. Energies are from PBE.

Cell lengths 6.2900, 6.2900, 4.2622 Å; angles 97.69, 97.69, 112.61 degrees
With the nearest neighbours (Å) after each atom.
Sites, in units of the cell vectors:
Ce 0.0000 0.0000 0.0000  12 F 2.56-2.85
Y 0.3210 0.6790 0.5000  8 F 2.28-2.35
Y 0.6790 0.3210 0.5000  8 F 2.28-2.35
F 0.0554 0.3215 0.5732  2 Y 2.32-2.35, 1 F 2.55
F 0.2445 0.7555 0.0000  2 Y 2.28
F 0.3215 0.0554 0.5732  2 Y 2.32-2.35, 1 F 2.55
F 0.3790 0.3790 0.2046  2 Y 2.30
F 0.6210 0.6210 0.7954  2 Y 2.30
F 0.6785 0.9446 0.4268  2 Y 2.32-2.35, 1 F 2.55
F 0.7555 0.2445 0.0000  2 Y 2.28
F 0.9446 0.6785 0.4268  2 Y 2.32-2.35, 1 F 2.55

Summary:
- ΔE_f (raw) (meV/atom) = -3850
- magnetization (μB/cell) = 2.01
- symmetry = No. 12
- crystal system = monoclinic